Entry 1:
The following is a DFT calculation (PBE) of Tl2Bi2P after structural relaxation.

a = 4.1526 Å, b = 4.1526 Å, c = 17.6885 Å
α = 90.00°, β = 90.00°, γ = 90.00°
With the nearest neighbours (Å) after each atom.
Space group I4/mmm (No. 139)
Inequivalent atoms, fractional coordinates:
1 Tl 0.0000 0.5000 0.2500 [4 per cell]  4 Tl 2.94
2 Bi 0.0000 0.0000 0.0841 [4 per cell]  1 Bi 2.98, 4 P 3.29
3 P 0.0000 0.0000 0.5000 [2 per cell]  8 Bi 3.29

Output
Total moment, μB per formula unit: 0.00
Relative energy among the computed polymorphs, meV/atom: 227
Energy of formation, eV/atom: 0.4320

---

Entry 2:
The following is a DFT calculation (PBE) of Tl2ZnBiP after structural relaxation.

a = 6.0325 Å, b = 6.0325 Å, c = 5.3410 Å
α = 90.00°, β = 90.00°, γ = 90.00°
With the nearest neighbours (Å) after each atom.
Space group P4/mmm (No. 123)
Inequivalent atoms, fractional coordinates:
1 Tl 0.0000 0.5000 0.0000 [2 per cell]  2 Bi 3.02
2 Zn 0.0000 0.0000 0.5000 [1 per cell]  2 Bi 2.67
3 Bi 0.0000 0.0000 0.0000 [1 per cell]  2 Zn 2.67
4 P 0.5000 0.5000 0.5000 [1 per cell]  8 Tl 4.03, 4 Zn 4.27

Output
Total moment, μB per formula unit: 1.23
Energy of formation, eV/atom: 0.8476

---

Entry 3:
The following is a DFT calculation (PBE) of Tm5BiP6 after structural relaxation.

a = 6.9139 Å, b = 11.9812 Å, c = 6.9098 Å
α = 90.00°, β = 109.50°, γ = 90.00°
With the nearest neighbours (Å) after each atom.
Space group C2/m (No. 12)
Inequivalent atoms, fractional coordinates:
1 Tm 0.0000 0.0000 0.0000 [2 per cell]  6 P 2.76-2.83
2 Tm 0.0000 0.1676 0.5000 [4 per cell]  6 P 2.81-2.83
3 Tm 0.0000 0.3352 0.0000 [4 per cell]  6 P 2.78-2.83
4 Bi 0.0000 0.5000 0.5000 [2 per cell]  6 P 2.88-2.89
5 P 0.2438 0.0000 0.7553 [4 per cell]  5 Tm 2.76-2.83, 1 Bi 2.89
6 P 0.2446 0.1705 0.2459 [8 per cell]  5 Tm 2.78-2.83, 1 Bi 2.88

Output
Total moment, μB per formula unit: 0.00
Energy of formation, eV/atom: -1.2652

---

Entry 4:
The following is a DFT calculation (PBE) of Tm3Bi2P after structural relaxation.

a = 4.2844 Å, b = 4.2844 Å, c = 18.1411 Å
α = 90.00°, β = 90.00°, γ = 90.00°
With the nearest neighbours (Å) after each atom.
Space group I4/mmm (No. 139)
Inequivalent atoms, fractional coordinates:
1 Tm 0.0000 0.0000 0.0000 [2 per cell]  4 P 3.03, 2 Bi 3.10
2 Tm 0.0000 0.0000 0.3496 [4 per cell]  1 P 2.73, 4 Bi 3.05
3 Bi 0.0000 0.0000 0.1710 [4 per cell]  6 Tm 3.05-3.24
4 P 0.0000 0.0000 0.5000 [2 per cell]  6 Tm 2.73-3.03

Output
Total moment, μB per formula unit: 0.00
Energy of formation, eV/atom: -0.9733

---

Entry 5:
The following is a DFT calculation (PBE) of Tm2BiP after structural relaxation.

a = 4.1104 Å, b = 4.1104 Å, c = 21.1384 Å
α = 90.00°, β = 90.00°, γ = 120.00°
With the nearest neighbours (Å) after each atom.
Space group R-3m (No. 166, hexagonal axes)
Inequivalent atoms, fractional coordinates:
1 Tm 0.0000 0.0000 0.2384 [6 per cell]  3 P 2.82, 3 Bi 3.11
2 Bi 0.0000 0.0000 0.0000 [3 per cell]  6 Tm 3.11
3 P 0.0000 0.0000 0.5000 [3 per cell]  6 Tm 2.82

Output
Total moment, μB per formula unit: 0.00
Energy of formation, eV/atom: -1.1506

---

Entry 6:
The following is a DFT calculation (PBE) of TmBiP after structural relaxation.

a = 4.6119 Å, b = 4.6119 Å, c = 30.5842 Å
α = 90.00°, β = 90.00°, γ = 120.00°
With the nearest neighbours (Å) after each atom.
Space group R-3m (No. 166, hexagonal axes)
Inequivalent atoms, fractional coordinates:
1 Tm 0.0000 0.0000 0.1236 [6 per cell]  4 P 2.66-2.73
2 Bi 0.0000 0.0000 0.3605 [6 per cell]  3 Bi 3.14
3 P 0.0000 0.0000 0.2127 [6 per cell]  4 Tm 2.66-2.73

Output
Total moment, μB per formula unit: 0.00
Energy of formation, eV/atom: -0.6338

---

Entry 7:
The following is a DFT calculation (PBE) of Tm5BiP4 after structural relaxation.

a = 13.4862 Å, b = 3.9810 Å, c = 10.0280 Å
α = 90.00°, β = 119.91°, γ = 90.00°
With the nearest neighbours (Å) after each atom.
Space group C2/m (No. 12)
Inequivalent atoms, fractional coordinates:
1 Tm 0.0000 0.0000 0.0000 [2 per cell]  6 P 2.83-2.85
2 Tm 0.1119 0.5000 0.3837 [4 per cell]  4 P 2.72-2.94
3 Tm 0.2078 0.0000 0.8190 [4 per cell]  5 P 2.74-2.84, 1 Bi 3.02
4 Bi 0.0000 0.0000 0.5000 [2 per cell]  6 Tm 3.02-3.06
5 P 0.0969 0.5000 0.8992 [4 per cell]  6 Tm 2.74-2.84
6 P 0.2036 0.0000 0.2936 [4 per cell]  6 Tm 2.72-2.94

Output
Total moment, μB per formula unit: 0.00
Energy of formation, eV/atom: -1.3984

---

Entry 8:
The following is a DFT calculation (PBE) of Tm2BiP after structural relaxation.

a = 3.9641 Å, b = 3.9641 Å, c = 22.7083 Å
α = 90.00°, β = 90.00°, γ = 120.00°
With the nearest neighbours (Å) after each atom.
Space group R3m (No. 160, hexagonal axes)
Inequivalent atoms, fractional coordinates:
1 Tm 0.0000 0.0000 0.0000 [3 per cell]  3 P 2.77
2 Tm 0.0000 0.0000 0.1990 [3 per cell]  3 P 2.73
3 Bi 0.0000 0.0000 0.7669 [3 per cell]  6 Tm 3.20-3.23
4 P 0.0000 0.0000 0.5981 [3 per cell]  6 Tm 2.73-2.77

Output
Total moment, μB per formula unit: 0.00
Energy of formation, eV/atom: -1.0783

---

Entry 9:
The following is a DFT calculation (PBE) of UBiP2 after structural relaxation.

a = 4.0050 Å, b = 4.0050 Å, c = 24.9524 Å
α = 90.00°, β = 90.00°, γ = 120.00°
With the nearest neighbours (Å) after each atom.
Space group R-3m (No. 166, hexagonal axes)
Inequivalent atoms, fractional coordinates:
1 U 0.0000 0.0000 0.0000 [3 per cell]  6 P 2.68
2 Bi 0.0000 0.0000 0.5000 [3 per cell]  2 P 2.81
3 P 0.0000 0.0000 0.3876 [6 per cell]  3 U 2.68, 1 Bi 2.81

Output
Total moment, μB per formula unit: 0.92
Energy of formation, eV/atom: -0.1323

---

Entry 10:
The following is a DFT calculation (PBE) of VBi3P after structural relaxation.

a = 5.2219 Å, b = 5.2219 Å, c = 5.2219 Å
α = 90.00°, β = 90.00°, γ = 90.00°
With the nearest neighbours (Å) after each atom.
Space group Pm-3m (No. 221)
Inequivalent atoms, fractional coordinates:
1 V 0.0000 0.0000 0.0000 [1 per cell]  6 Bi 2.61
2 Bi 0.0000 0.0000 0.5000 [3 per cell]  2 V 2.61
3 P 0.5000 0.5000 0.5000 [1 per cell]  12 Bi 3.69

Output
Total moment, μB per formula unit: 1.20
Relative energy among the computed polymorphs, meV/atom: 0
Energy of formation, eV/atom: 0.6760

---

Entry 11:
The following is a DFT calculation (PBE) of VBiP2 after structural relaxation.

a = 5.9294 Å, b = 5.9294 Å, c = 11.5487 Å
α = 90.00°, β = 90.00°, γ = 90.00°
With the nearest neighbours (Å) after each atom.
Space group I-42d (No. 122)
Inequivalent atoms, fractional coordinates:
1 V 0.0000 0.0000 0.0000 [4 per cell]  4 P 2.34
2 Bi 0.0000 0.0000 0.5000 [4 per cell]  4 P 2.79
3 P 0.1852 0.2500 0.1250 [8 per cell]  2 V 2.34

Output
Total moment, μB per formula unit: 1.91
Energy of formation, eV/atom: 0.0952

---

Entry 12:
The following is a DFT calculation (PBE) of VBi3P after structural relaxation.

a = 5.3712 Å, b = 5.3712 Å, c = 5.3712 Å
α = 90.00°, β = 90.00°, γ = 90.00°
With the nearest neighbours (Å) after each atom.
Space group Pm-3m (No. 221)
Inequivalent atoms, fractional coordinates:
1 V 0.0000 0.0000 0.0000 [1 per cell]  12 Bi 3.80
2 Bi 0.0000 0.5000 0.5000 [3 per cell]  2 P 2.69
3 P 0.5000 0.5000 0.5000 [1 per cell]  6 Bi 2.69

Output
Total moment, μB per formula unit: 3.73
Relative energy among the computed polymorphs, meV/atom: 234
Energy of formation, eV/atom: 0.9103

---

Entry 13:
The following is a DFT calculation (PBE) of V2BiPW after structural relaxation.

a = 4.9734 Å, b = 4.9734 Å, c = 5.0549 Å
α = 90.00°, β = 90.00°, γ = 90.00°
With the nearest neighbours (Å) after each atom.
Space group P4/mmm (No. 123)
Inequivalent atoms, fractional coordinates:
1 V 0.0000 0.5000 0.0000 [2 per cell]  2 Bi 2.49
2 Bi 0.0000 0.0000 0.0000 [1 per cell]  4 V 2.49, 2 P 2.53
3 P 0.0000 0.0000 0.5000 [1 per cell]  2 Bi 2.53
4 W 0.5000 0.5000 0.5000 [1 per cell]  4 P 3.52, 8 V 3.55

Output
Total moment, μB per formula unit: 5.72
Energy of formation, eV/atom: 2.5391

---

Entry 14:
The following is a DFT calculation (PBE) of BiP3W after structural relaxation.

a = 4.7590 Å, b = 4.7590 Å, c = 4.7590 Å
α = 90.00°, β = 90.00°, γ = 90.00°
With the nearest neighbours (Å) after each atom.
Space group Pm-3m (No. 221)
Inequivalent atoms, fractional coordinates:
1 Bi 0.0000 0.0000 0.0000 [1 per cell]  12 P 3.37
2 P 0.0000 0.5000 0.5000 [3 per cell]  2 W 2.38
3 W 0.5000 0.5000 0.5000 [1 per cell]  6 P 2.38

Output
Total moment, μB per formula unit: 0.00
Relative energy among the computed polymorphs, meV/atom: 0
Energy of formation, eV/atom: 0.5279